Record 1
First-principles (PBE) data for a relaxed structure of MgTeBr2, as listed in Alexandria via LeMat-Bulk.

Properties
polymorph energy (0 for the lowest one) = 0.1466 eV/atom
space group = Imm2, No. 44
V = 40.19 A^3/atom
E_form (uncorrected) = -2.78 eV per formula unit

abc: 8.402 8.402 8.402
angles: 154.61 140.65 47.41
Fractional positions:
Te 0.390 0.890 0.500
Br 0.649 0.149 0.500
Mg 0.535 0.535 0.000
Br 0.926 0.926 0.000



Record 2
First-principles (PBE) data for a relaxed structure of MgTeBr2, as listed in Alexandria via LeMat-Bulk.

Properties
polymorph energy (0 for the lowest one) = 0.1461 eV/atom
space group = Pm, No. 6
V = 32.23 A^3/atom
E_form (uncorrected) = -2.78 eV per formula unit

abc: 4.300 5.719 7.039
angles: 48.15 90.00 90.00
Fractional positions:
Br 0.000 0.995 0.977
Br 0.500 0.281 0.376
Mg 0.000 0.555 0.475
Te 0.500 0.669 0.673



Repeat the second record exactly.
First-principles (PBE) data for a relaxed structure of MgTeBr2, as listed in Alexandria via LeMat-Bulk.

Properties
polymorph energy (0 for the lowest one) = 0.1461 eV/atom
space group = Pm, No. 6
V = 32.23 A^3/atom
E_form (uncorrected) = -2.78 eV per formula unit

abc: 4.300 5.719 7.039
angles: 48.15 90.00 90.00
Fractional positions:
Br 0.000 0.995 0.977
Br 0.500 0.281 0.376
Mg 0.000 0.555 0.475
Te 0.500 0.669 0.673